Model w:
# SrCaPH

A geometry-optimized SrCaPH structure (GGA-PBE, the Alexandria database).

Lattice parameters (Å, degrees): 7.002 7.002 7.002 90.00 90.00 90.00
Space group F-43m (No. 216)
One atom of each set of equivalent atoms:
Sr (0.000, 0.000, 0.000) x4
Ca (0.000, 0.000, 0.500) x4
P (0.250, 0.250, 0.750) x4
H (0.250, 0.250, 0.250) x4

Summary:
- size of the total moment (μB/f.u.) = 0.00

---

Model x:
# SrCaPH

A geometry-optimized SrCaPH structure (GGA-PBE, the Alexandria database).

Lattice parameters (Å, degrees): 4.7403 4.7403 9.9363 90.00 90.00 120.00
Space group P6_3mc (No. 186)
One atom of each set of equivalent atoms:
Sr (0.3333, 0.6667, 0.0000) x2
Ca (0.0000, 0.0000, 0.2662) x2
P (0.3333, 0.6667, 0.3178) x2
H (0.0000, 0.0000, 0.0319) x2

Summary:
- size of the total moment (μB/f.u.) = 0.00

---

model x wins, 129 meV per atom ahead of the next structure.

---

Model w:
# Ca4HPb2

A geometry-optimized Ca4HPb2 structure (GGA-PBE, the Alexandria database).

Lattice parameters (Å, degrees): 4.719 4.719 17.758 90.00 90.00 90.00
Space group I4/mmm (No. 139)
One atom of each set of equivalent atoms:
Ca (0.000, 0.000, 0.180) x4
Ca (0.000, 0.500, 0.000) x4
H (0.000, 0.000, 0.000) x2
Pb (0.000, 0.000, 0.366) x4

Summary:
- size of the total moment (μB/f.u.) = 0.00

---

Model x:
# Ca4HPb2

A geometry-optimized Ca4HPb2 structure (GGA-PBE, the Alexandria database).

Lattice parameters (Å, degrees): 6.263 6.967 9.349 90.00 104.04 90.00
Space group P2_1/m (No. 11)
One atom of each set of equivalent atoms:
Ca (0.163, 0.250, 0.060) x2
Ca (0.258, 0.000, 0.720) x4
Ca (0.264, 0.750, 0.359) x2
H (0.078, 0.250, 0.793) x2
Pb (0.231, 0.250, 0.413) x2
Pb (0.374, 0.750, 0.031) x2

Summary:
- size of the total moment (μB/f.u.) = 0.00

---

model x wins, 9 meV per atom ahead of the next structure.

---

Model w:
# Ca2H2Pb

A geometry-optimized Ca2H2Pb structure (GGA-PBE, the Alexandria database).

Lattice parameters (Å, degrees): 3.588 3.588 7.627 90.00 90.00 90.00
Space group P4/mmm (No. 123)
One atom of each set of equivalent atoms:
Ca (0.000, 0.000, 0.197) x2
H (0.000, 0.500, 0.000) x2
Pb (0.500, 0.500, 0.500) x1

Summary:
- size of the total moment (μB/f.u.) = 0.00

---

Model x:
# Ca2H2Pb

A geometry-optimized Ca2H2Pb structure (GGA-PBE, the Alexandria database).

Lattice parameters (Å, degrees): 17.595 3.759 6.642 90.00 111.78 90.00
Space group C2/c (No. 15)
One atom of each set of equivalent atoms:
Ca (0.155, 0.249, 0.073) x8
H (0.202, 0.251, 0.788) x8
Pb (0.000, 0.252, 0.250) x4

Summary:
- size of the total moment (μB/f.u.) = 0.00

---

Model y:
# Ca2H2Pb

A geometry-optimized Ca2H2Pb structure (GGA-PBE, the Alexandria database).

Lattice parameters (Å, degrees): 3.710 3.710 14.261 90.00 90.00 90.00
Space group I4/mmm (No. 139)
One atom of each set of equivalent atoms:
Ca (0.000, 0.000, 0.160) x4
H (0.000, 0.500, 0.250) x4
Pb (0.000, 0.000, 0.500) x2

Summary:
- size of the total moment (μB/f.u.) = 0.00

---

model y wins, 91 meV per atom ahead of the next structure.

---

Model w:
# CaH2Pb2

A geometry-optimized CaH2Pb2 structure (GGA-PBE, the Alexandria database).

Lattice parameters (Å, degrees): 6.561 6.561 4.903 90.00 90.00 90.00
Space group P4/mbm (No. 127)
One atom of each set of equivalent atoms:
Ca (0.000, 0.000, 0.000) x2
H (0.207, 0.293, 0.000) x4
Pb (0.185, 0.315, 0.500) x4

Summary:
- size of the total moment (μB/f.u.) = 0.00

---

Model x:
# CaH2Pb2

A geometry-optimized CaH2Pb2 structure (GGA-PBE, the Alexandria database).

Lattice parameters (Å, degrees): 4.511 4.511 10.715 90.00 90.00 90.00
Space group I4/mmm (No. 139)
One atom of each set of equivalent atoms:
Ca (0.000, 0.000, 0.000) x2
H (0.000, 0.000, 0.464) x4
Pb (0.000, 0.500, 0.250) x4

Summary:
- size of the total moment (μB/f.u.) = 0.00

---

model w wins, 18 meV per atom ahead of the next structure.

---

Model w:
# CaHPb2

A geometry-optimized CaHPb2 structure (GGA-PBE, the Alexandria database).

Lattice parameters (Å, degrees): 7.415 7.415 7.415 90.00 90.00 90.00
Space group Fm-3m (No. 225)
One atom of each set of equivalent atoms:
Ca (0.000, 0.000, 0.000) x4
H (0.000, 0.000, 0.500) x4
Pb (0.250, 0.250, 0.250) x8

Summary:
- size of the total moment (μB/f.u.) = 0.00

---

Model x:
# CaHPb2

A geometry-optimized CaHPb2 structure (GGA-PBE, the Alexandria database).

Lattice parameters (Å, degrees): 8.215 8.215 5.872 90.00 90.00 90.00
Space group I-42d (No. 122)
One atom of each set of equivalent atoms:
Ca (0.000, 0.000, 0.000) x4
H (0.000, 0.000, 0.500) x4
Pb (0.144, 0.250, 0.625) x8

Summary:
- size of the total moment (μB/f.u.) = 0.00

---

model x wins, 356 meV per atom ahead of the next structure.

---

Model w:
# CaH3Pb

A geometry-optimized CaH3Pb structure (GGA-PBE, the Alexandria database).

Lattice parameters (Å, degrees): 4.355 4.355 4.355 90.00 90.00 90.00
Space group Pm-3m (No. 221)
One atom of each set of equivalent atoms:
Ca (0.000, 0.000, 0.000) x1
H (0.000, 0.500, 0.500) x3
Pb (0.500, 0.500, 0.500) x1

Summary:
- size of the total moment (μB/f.u.) = 0.00

---

Model x:
# CaH3Pb

A geometry-optimized CaH3Pb structure (GGA-PBE, the Alexandria database).

Lattice parameters (Å, degrees): 4.217 4.217 4.217 90.00 90.00 90.00
Space group Pm-3m (No. 221)
One atom of each set of equivalent atoms:
Ca (0.000, 0.000, 0.000) x1
H (0.000, 0.000, 0.500) x3
Pb (0.500, 0.500, 0.500) x1

Summary:
- size of the total moment (μB/f.u.) = 0.00

---

model x wins, 279 meV per atom ahead of the next structure.

---

Model w:
# Ca4HPd

A geometry-optimized Ca4HPd structure (GGA-PBE, the Alexandria database).

Lattice parameters (Å, degrees): 9.193 9.193 8.208 90.00 90.00 90.00
Space group I4_1/amd (No. 141, origin choice 2)
One atom of each set of equivalent atoms:
Ca (0.000, 0.056, 0.205) x16
H (0.000, 0.250, 0.375) x4
Pd (0.000, 0.250, 0.875) x4

Summary:
- size of the total moment (μB/f.u.) = 0.00

---

Model x:
# Ca4HPd

A geometry-optimized Ca4HPd structure (GGA-PBE, the Alexandria database).

Lattice parameters (Å, degrees): 5.982 9.494 6.020 90.00 98.81 90.00
Space group P2_1/m (No. 11)
One atom of each set of equivalent atoms:
Ca (0.158, 0.250, 0.260) x2
Ca (0.237, 0.750, 0.344) x2
Ca (0.285, 0.041, 0.782) x4
H (0.140, 0.250, 0.634) x2
Pd (0.388, 0.750, 0.891) x2

Summary:
- size of the total moment (μB/f.u.) = 0.00

---

model w wins, 45 meV per atom ahead of the next structure.

---

Model w:
# CaHPd3

A geometry-optimized CaHPd3 structure (GGA-PBE, the Alexandria database).

Lattice parameters (Å, degrees): 12.041 9.098 6.130 90.00 111.04 90.00
Space group C2/c (No. 15)
One atom of each set of equivalent atoms:
Ca (0.000, 0.169, 0.250) x4
Ca (0.000, 0.275, 0.750) x4
H (0.142, 0.085, 0.659) x8
Pd (0.098, 0.453, 0.175) x8
Pd (0.198, 0.020, 0.960) x8
Pd (0.226, 0.261, 0.703) x8

Summary:
- size of the total moment (μB/f.u.) = 0.00

---

Model x:
# CaHPd3

A geometry-optimized CaHPd3 structure (GGA-PBE, the Alexandria database).

Lattice parameters (Å, degrees): 12.454 4.535 5.847 90.00 94.54 90.00
Space group C2/m (No. 12)
One atom of each set of equivalent atoms:
Ca (0.144, 0.000, 0.377) x4
H (0.188, 0.500, 0.901) x4
Pd (0.090, 0.500, 0.648) x4
Pd (0.093, 0.500, 0.127) x4
Pd (0.188, 0.000, 0.889) x4

Summary:
- size of the total moment (μB/f.u.) = 0.00

---

model w wins, 38 meV per atom ahead of the next structure.